# 1
# AlCrRh3 (PBE, optimized geometry)
data_AlCrRh3
_chemical_formula_sum 'Al1 Cr1 Rh3'
_space_group_name_H-M_alt 'P m -3 m'
_space_group_IT_number 221
_space_group_name_Hall '-P 4 2 3'
_cell_length_a 4.437
_cell_length_b 4.437
_cell_length_c 4.437
_cell_angle_alpha 90.00
_cell_angle_beta 90.00
_cell_angle_gamma 90.00
loop_
_atom_site_label
_atom_site_type_symbol
_atom_site_fract_x
_atom_site_fract_y
_atom_site_fract_z
Al1 Al 0.000 0.000 0.000
Cr1 Cr 0.500 0.500 0.500
Rh1 Rh 0.000 0.500 0.500
# - Formation energy: 0.69 eV/atom
# - Distance to the lowest polymorph of the same formula: 0.0 meV per atom
# - Calculated volume: 87 Å³ per cell
# - ρ: 7.368 g cm⁻³



# 2
# Ca5Y4 (PBE, optimized geometry)
data_Ca5Y4
_chemical_formula_sum 'Ca10 Y8'
_space_group_name_H-M_alt 'I 4/m m m'
_space_group_IT_number 139
_space_group_name_Hall '-I 4 2'
_cell_length_a 12.844
_cell_length_b 12.844
_cell_length_c 4.026
_cell_angle_alpha 90.00
_cell_angle_beta 90.00
_cell_angle_gamma 90.00
loop_
_atom_site_label
_atom_site_type_symbol
_atom_site_fract_x
_atom_site_fract_y
_atom_site_fract_z
Ca1 Ca 0.000 0.000 0.000
Ca2 Ca 0.169 0.169 0.500
Y1 Y 0.000 0.346 0.000
# - Formation energy: 0.11 eV/atom
# - Distance to the lowest polymorph of the same formula: 0.0 meV per atom
# - Calculated volume: 664 Å³ per cell
# - ρ: 2.780 g cm⁻³



# 3
# La3GaI (PBE, optimized geometry)
data_La3GaI
_chemical_formula_sum 'La24 Ga8 I8'
_space_group_name_H-M_alt 'C 1 2/c 1'
_space_group_IT_number 15
_cell_length_a 12.785
_cell_length_b 12.122
_cell_length_c 8.578
_cell_angle_alpha 90.00
_cell_angle_beta 90.62
_cell_angle_gamma 90.00
loop_
_space_group_symop_operation_xyz
'x,y,z'
'-x,-y,-z'
'-x,y,-z+1/2'
'x,-y,z+1/2'
'x+1/2,y+1/2,z'
'-x+1/2,-y+1/2,-z'
'-x+1/2,y+1/2,-z+1/2'
'x+1/2,-y+1/2,z+1/2'
loop_
_atom_site_label
_atom_site_type_symbol
_atom_site_fract_x
_atom_site_fract_y
_atom_site_fract_z
La1 La 0.062 0.116 0.441
La2 La 0.154 0.431 0.564
La3 La 0.240 0.187 0.818
Ga1 Ga 0.190 0.056 0.143
I1 I 0.000 0.262 0.750
I2 I 0.000 0.375 0.250
# - Energy relative to the elements, uncorrected: -56 kJ per mole of atoms
# - Distance to the lowest polymorph of the same formula: 0.0 meV per atom
# - Calculated volume: 1329 Å³ per cell
# - ρ: 6.129 g cm⁻³



# 4
# La6Sb3As2I (PBE, optimized geometry)
data_La6Sb3As2I
_chemical_formula_sum 'La12 Sb6 As4 I2'
_space_group_name_H-M_alt 'C 1 2/m 1'
_space_group_IT_number 12
_cell_length_a 19.718
_cell_length_b 4.532
_cell_length_c 9.092
_cell_angle_alpha 90.00
_cell_angle_beta 102.68
_cell_angle_gamma 90.00
loop_
_space_group_symop_operation_xyz
'x,y,z'
'-x,-y,-z'
'-x,y,-z'
'x,-y,z'
'x+1/2,y+1/2,z'
'-x+1/2,-y+1/2,-z'
'-x+1/2,y+1/2,-z'
'x+1/2,-y+1/2,z'
loop_
_atom_site_label
_atom_site_type_symbol
_atom_site_fract_x
_atom_site_fract_y
_atom_site_fract_z
La1 La 0.008 0.000 0.268
La2 La 0.171 0.500 0.575
La3 La 0.174 0.500 0.102
Sb1 Sb 0.000 0.500 0.500
Sb2 Sb 0.161 0.000 0.835
As1 As 0.168 0.000 0.333
I1 I 0.000 0.500 0.000
# - Energy relative to the elements, uncorrected: -132 kJ per mole of atoms
# - Calculated volume: 793 Å³ per cell
# - ρ: 6.182 g cm⁻³



# 5
# Ce3Ag3PtS8 (PBE, optimized geometry)
data_Ce3Ag3PtS8
_chemical_formula_sum 'Ce9 Ag9 Pt3 S24'
_space_group_name_H-M_alt 'R -3 m'
_space_group_IT_number 166
_space_group_name_Hall '-R 3 2"'
_cell_length_a 8.0323
_cell_length_b 8.0323
_cell_length_c 18.5840
_cell_angle_alpha 90.00
_cell_angle_beta 90.00
_cell_angle_gamma 120.00
loop_
_atom_site_label
_atom_site_type_symbol
_atom_site_fract_x
_atom_site_fract_y
_atom_site_fract_z
Ce1 Ce 0.0000 0.5000 0.0000
Ag1 Ag 0.0000 0.5000 0.5000
Pt1 Pt 0.0000 0.0000 0.0000
S1 S 0.0000 0.0000 0.2528
S2 S 0.0374 0.5187 0.7428
# - Energy relative to the elements, uncorrected: -95 kJ per mole of atoms
# - Calculated volume: 1038 Å³ per cell
# - ρ: 5.736 g cm⁻³



# 6
# Cs3BrCl (PBE, optimized geometry)
data_Cs3BrCl
_chemical_formula_sum 'Cs6 Br2 Cl2'
_space_group_name_H-M_alt 'P 1 21/m 1'
_space_group_IT_number 11
_cell_length_a 9.037
_cell_length_b 5.055
_cell_length_c 13.468
_cell_angle_alpha 90.00
_cell_angle_beta 104.45
_cell_angle_gamma 90.00
loop_
_space_group_symop_operation_xyz
'x,y,z'
'-x,-y,-z'
'-x,y+1/2,-z'
'x,-y+1/2,z'
loop_
_atom_site_label
_atom_site_type_symbol
_atom_site_fract_x
_atom_site_fract_y
_atom_site_fract_z
Cs1 Cs 0.009 0.250 0.332
Cs2 Cs 0.266 0.250 0.990
Cs3 Cs 0.472 0.250 0.670
Br1 Br 0.248 0.750 0.492
Cl1 Cl 0.370 0.750 0.833
# - Energy relative to the elements, uncorrected: -140 kJ per mole of atoms
# - Distance to the lowest polymorph of the same formula: 0.0 meV per atom
# - Calculated volume: 596 Å³ per cell
# - ρ: 2.866 g cm⁻³



# 7
# CaHoZnCd (PBE, optimized geometry)
data_CaHoZnCd
_chemical_formula_sum 'Ca1 Ho1 Zn1 Cd1'
_space_group_name_H-M_alt 'P 4 m m'
_space_group_IT_number 99
_cell_length_a 3.694
_cell_length_b 3.694
_cell_length_c 7.409
_cell_angle_alpha 90.00
_cell_angle_beta 90.00
_cell_angle_gamma 90.00
loop_
_space_group_symop_operation_xyz
'x,y,z'
'-y,x,z'
'-x,-y,z'
'y,-x,z'
'-x,y,z'
'y,x,z'
'x,-y,z'
'-y,-x,z'
loop_
_atom_site_label
_atom_site_type_symbol
_atom_site_fract_x
_atom_site_fract_y
_atom_site_fract_z
Ca1 Ca 0.000 0.000 0.000
Ho1 Ho 0.000 0.000 0.529
Zn1 Zn 0.500 0.500 0.742
Cd1 Cd 0.500 0.500 0.277
# - Formation energy: -0.32 eV/atom
# - Distance to the lowest polymorph of the same formula: 0.0 meV per atom
# - Calculated volume: 101 Å³ per cell
# - ρ: 6.289 g cm⁻³



# 8
# ZrReTc (PBE, optimized geometry)
data_ZrReTc
_chemical_formula_sum 'Zr4 Re4 Tc4'
_space_group_name_H-M_alt 'F -4 3 m'
_space_group_IT_number 216
_space_group_name_Hall 'F -4 2 3'
_cell_length_a 6.214
_cell_length_b 6.214
_cell_length_c 6.214
_cell_angle_alpha 90.00
_cell_angle_beta 90.00
_cell_angle_gamma 90.00
loop_
_atom_site_label
_atom_site_type_symbol
_atom_site_fract_x
_atom_site_fract_y
_atom_site_fract_z
Zr1 Zr 0.000 0.000 0.000
Re1 Re 0.250 0.250 0.750
Tc1 Tc 0.250 0.250 0.250
# - Formation energy: 1.21 eV/atom
# - Distance to the lowest polymorph of the same formula: 1516.2 meV per atom
# - Calculated volume: 240 Å³ per cell
# - ρ: 10.391 g cm⁻³



# 9
# CeIrPd (PBE, optimized geometry)
data_CeIrPd
_chemical_formula_sum 'Ce2 Ir2 Pd2'
_space_group_name_H-M_alt 'I 4 m m'
_space_group_IT_number 107
_space_group_name_Hall 'I 4 -2'
_cell_length_a 3.593
_cell_length_b 3.593
_cell_length_c 9.054
_cell_angle_alpha 90.00
_cell_angle_beta 90.00
_cell_angle_gamma 90.00
loop_
_atom_site_label
_atom_site_type_symbol
_atom_site_fract_x
_atom_site_fract_y
_atom_site_fract_z
Ce1 Ce 0.000 0.000 0.000
Ir1 Ir 0.000 0.000 0.355
Pd1 Pd 0.000 0.000 0.682
# - Formation energy: -0.45 eV/atom
# - Distance to the lowest polymorph of the same formula: 33.8 meV per atom
# - Calculated volume: 117 Å³ per cell
# - ρ: 12.469 g cm⁻³



# 10
# Ac4GaSe3 (PBE, optimized geometry)
data_Ac4GaSe3
_chemical_formula_sum 'Ac4 Ga1 Se3'
_space_group_name_H-M_alt 'P m -3 m'
_space_group_IT_number 221
_space_group_name_Hall '-P 4 2 3'
_cell_length_a 6.382
_cell_length_b 6.382
_cell_length_c 6.382
_cell_angle_alpha 90.00
_cell_angle_beta 90.00
_cell_angle_gamma 90.00
loop_
_atom_site_label
_atom_site_type_symbol
_atom_site_fract_x
_atom_site_fract_y
_atom_site_fract_z
Ac1 Ac 0.000 0.000 0.000
Ac2 Ac 0.000 0.500 0.500
Ga1 Ga 0.500 0.500 0.500
Se1 Se 0.000 0.000 0.500
# - Energy relative to the elements, uncorrected: -151 kJ per mole of atoms
# - Calculated volume: 260 Å³ per cell
# - ρ: 7.760 g cm⁻³



no.,spin magnetization (μB/f.u.),total DFT energy (no corrections) (eV per atom)
1,0.00,-6.396
2,1.56,-3.873
3,0.00,-4.451
4,0.00,-5.765
5,2.10,-5.345
6,0.25,-2.666
7,0.00,-2.511
8,0.35,-9.245
9,0.00,-7.116
10,0.00,-5.304